[1]
Compound: SrAs2Rh
Source: Alexandria
Functional: meta-GGA SCAN
Structure: single point on PBEsol structure

The value obtained for the density of states at the Fermi level is 0.734 states/eV per atom. As for the space-group type: No. 216. Its spin magnetization is 0.0 μB/f.u. As for the energy: -96.47 eV/f.u.

Structure (POSCAR):
```
SrAs2Rh
1.0
0.0000 3.3946 3.3946
3.3946 0.0000 3.3946
3.3946 3.3946 0.0000
Sr As Rh
1 2 1
Direct
0.0000 0.0000 0.0000
0.5000 0.5000 0.5000
0.7500 0.7500 0.7500
0.2500 0.2500 0.2500
```


[2]
Compound: SrTa2AsRh
Source: Alexandria
Functional: meta-GGA SCAN
Structure: single point on PBEsol structure

The value obtained for the density of states at the Fermi level is 1.174 states/eV per atom. As for the space-group type: No. 123. Its spin magnetization is 0.0 μB/f.u. As for the energy: -194.22 eV/f.u.

Structure (POSCAR):
```
SrTa2AsRh
1.0
4.7842 0.0000 0.0000
0.0000 4.7842 0.0000
0.0000 0.0000 5.0288
Sr Ta As Rh
1 2 1 1
Direct
0.0000 0.0000 0.0000
0.0000 0.5000 0.0000
0.5000 0.0000 0.0000
0.0000 0.0000 0.5000
0.5000 0.5000 0.5000
```


[3]
Compound: TaAs3Rh
Source: Alexandria
Functional: meta-GGA SCAN
Structure: single point on PBEsol structure

The value obtained for the density of states at the Fermi level is 0.767 states/eV per atom. As for the space-group type: No. 221. Its spin magnetization is 0.7 μB/f.u. As for the energy: -156.79 eV/f.u.

Structure (POSCAR):
```
TaAs3Rh
1.0
4.8511 0.0000 0.0000
0.0000 4.8511 0.0000
0.0000 0.0000 4.8511
Ta As Rh
1 3 1
Direct
0.0000 0.0000 0.0000
0.0000 0.0000 0.5000
0.0000 0.5000 0.0000
0.5000 0.0000 0.0000
0.5000 0.5000 0.5000
```


[4]
Compound: Ta2AsRh
Source: Alexandria
Functional: meta-GGA SCAN
Structure: single point on PBEsol structure

The value obtained for the density of states at the Fermi level is 0.520 states/eV per atom. As for the space-group type: No. 71. Its spin magnetization is 0.0 μB/f.u. As for the energy: -188.45 eV/f.u.

Structure (POSCAR):
```
Ta2AsRh
1.0
-1.7131 2.1379 4.2707
1.7131 -2.1379 4.2707
1.7131 2.1379 -4.2707
Ta As Rh
2 1 1
Direct
0.2483 0.2483 0.0000
0.7517 0.7517 0.0000
0.0000 0.5000 0.5000
0.5000 0.0000 0.5000
```


[5]
Compound: TaAsRh
Source: Alexandria
Functional: meta-GGA SCAN
Structure: single point on PBEsol structure

The value obtained for the density of states at the Fermi level is 0.674 states/eV per atom. As for the space-group type: No. 156. Its spin magnetization is 0.0 μB/f.u. As for the energy: -121.12 eV/f.u.

Structure (POSCAR):
```
TaAsRh
1.0
2.9118 0.0000 0.0000
-1.4559 2.5217 0.0000
0.0000 0.0000 6.4129
Ta As Rh
1 1 1
Direct
0.0000 0.0000 0.0000
0.3333 0.6667 0.6535
0.6667 0.3333 0.3262
```


[6]
Compound: TaAs2Rh
Source: Alexandria
Functional: meta-GGA SCAN
Structure: single point on PBEsol structure

The value obtained for the density of states at the Fermi level is 0.672 states/eV per atom. As for the space-group type: No. 10. Its spin magnetization is 0.0 μB/f.u. As for the energy: -141.65 eV/f.u.

Structure (POSCAR):
```
TaAs2Rh
1.0
4.3256 0.0000 0.0000
0.0000 3.0447 0.0000
-2.1153 0.0000 4.7651
Ta As Rh
1 2 1
Direct
0.0000 0.0000 0.0000
0.5000 0.0000 0.5000
0.5000 0.5000 0.0000
0.0000 0.5000 0.5000
```


[7]
Compound: TcAs2Rh
Source: Alexandria
Functional: meta-GGA SCAN
Structure: single point on PBEsol structure

The value obtained for the density of states at the Fermi level is 0.744 states/eV per atom. As for the space-group type: No. 12. The value obtained for the energy relative to the lowest polymorph listed for this composition is 97 meV/atom. Its spin magnetization is 0.0 μB/f.u. As for the energy: -109.76 eV/f.u.

Structure (POSCAR):
```
TcAs2Rh
1.0
3.9597 -1.4820 0.0000
3.9597 1.4820 0.0000
-1.1117 0.0000 4.9825
Tc As Rh
1 2 1
Direct
0.0000 0.0000 0.0000
0.2535 0.2535 0.7615
0.7465 0.7465 0.2385
0.5000 0.5000 0.5000
```


[8]
Compound: TcAsRh2
Source: Alexandria
Functional: meta-GGA SCAN
Structure: single point on PBEsol structure

The value obtained for the density of states at the Fermi level is 1.102 states/eV per atom. As for the space-group type: No. 216. Its spin magnetization is 0.0 μB/f.u. As for the energy: -122.90 eV/f.u.

Structure (POSCAR):
```
TcAsRh2
1.0
0.0000 3.0265 3.0265
3.0265 0.0000 3.0265
3.0265 3.0265 0.0000
Tc As Rh
1 1 2
Direct
0.0000 0.0000 0.0000
0.2500 0.2500 0.2500
0.5000 0.5000 0.5000
0.7500 0.7500 0.7500
```


[9]
Compound: Tc2AsRh
Source: Alexandria
Functional: meta-GGA SCAN
Structure: single point on PBEsol structure

The value obtained for the density of states at the Fermi level is 0.863 states/eV per atom. As for the space-group type: No. 123. Its spin magnetization is 0.0 μB/f.u. As for the energy: -124.19 eV/f.u.

Structure (POSCAR):
```
Tc2AsRh
1.0
2.9078 0.0000 0.0000
0.0000 2.9078 0.0000
0.0000 0.0000 6.5297
Tc As Rh
2 1 1
Direct
0.0000 0.0000 0.2284
0.0000 0.0000 0.7716
0.5000 0.5000 0.0000
0.5000 0.5000 0.5000
```


[10]
Compound: Tc2AsRh
Source: Alexandria
Functional: meta-GGA SCAN
Structure: single point on PBEsol structure

The value obtained for the density of states at the Fermi level is 0.993 states/eV per atom. As for the space-group type: No. 25. Its spin magnetization is 0.0 μB/f.u. As for the energy: -124.08 eV/f.u.

Structure (POSCAR):
```
Tc2AsRh
1.0
2.8215 0.0000 0.0000
0.0000 3.7868 0.0000
0.0000 0.0000 5.2976
Tc As Rh
2 1 1
Direct
0.0000 0.0000 0.0000
0.5000 0.5000 0.2026
0.0000 0.0000 0.4885
0.5000 0.5000 0.7068
```


[11]
Compound: TcAs2Rh
Source: Alexandria
Functional: meta-GGA SCAN
Structure: single point on PBEsol structure

The value obtained for the density of states at the Fermi level is 0.500 states/eV per atom. As for the space-group type: No. 99. The value obtained for the energy relative to the lowest polymorph listed for this composition is 0 meV/atom. Its spin magnetization is 0.0 μB/f.u. As for the energy: -110.14 eV/f.u.

Structure (POSCAR):
```
TcAs2Rh
1.0
3.3278 0.0000 0.0000
0.0000 3.3278 0.0000
0.0000 0.0000 5.3693
Tc As Rh
1 2 1
Direct
0.0000 0.0000 0.0000
0.0000 0.0000 0.5133
0.5000 0.5000 0.1700
0.5000 0.5000 0.6481
```


[12]
Compound: Tc2AsRh
Source: Alexandria
Functional: meta-GGA SCAN
Structure: single point on PBEsol structure

The value obtained for the density of states at the Fermi level is 0.450 states/eV per atom. As for the space-group type: No. 44. Its spin magnetization is 0.0 μB/f.u. As for the energy: -124.57 eV/f.u.

Structure (POSCAR):
```
Tc2AsRh
1.0
-1.4759 2.1703 4.3138
1.4759 -2.1703 4.3138
1.4759 2.1703 -4.3138
Tc As Rh
2 1 1
Direct
0.0000 0.0000 0.0000
0.7324 0.2324 0.5000
0.2303 0.7303 0.5000
0.4514 0.4514 0.0000
```


Which of these has the lowest density of states at the Fermi level?
number 12


What is the energy in the twelfth record?
-124.57 eV/f.u.